Below is an optimized crystal structure of PrTaCrO6, with properties calculated at the PBE with a Hubbard U level.

Geometry as POSCAR:
```
PrTaCrO6
1.0
5.199 0.000 0.000
-2.600 4.503 0.000
0.000 0.000 10.315
Pr Ta Cr O
2 2 2 12
Direct
0.000 0.000 0.000
0.000 0.000 0.500
0.333 0.667 0.250
0.667 0.333 0.750
0.333 0.667 0.750
0.667 0.333 0.250
0.008 0.374 0.644
0.008 0.634 0.856
0.366 0.374 0.856
0.366 0.992 0.644
0.374 0.008 0.144
0.374 0.366 0.356
0.626 0.634 0.644
0.626 0.992 0.856
0.634 0.008 0.356
0.634 0.626 0.144
0.992 0.366 0.144
0.992 0.626 0.356
```

Results
Space group   P-31c (163)
DFT total energy   -8.606 eV per atom